# K2SbOs, relaxed, DFT PBE
data_K2SbOs
_chemical_formula_sum 'K6 Sb3 Os3'
_cell_length_a 3.1209
_cell_length_b 3.1209
_cell_length_c 35.0105
_cell_angle_alpha 90.00
_cell_angle_beta 90.00
_cell_angle_gamma 120.00
_symmetry_space_group_name_H-M 'R -3 m'
_symmetry_Int_Tables_number 166
_symmetry_space_group_name_Hall '-R 3 2"'
loop_
_atom_site_label
_atom_site_fract_x
_atom_site_fract_y
_atom_site_fract_z
K1 0.0000 0.0000 0.2456
Sb1 0.0000 0.0000 0.0000
Os1 0.0000 0.0000 0.5000
# ΔE_f (raw)	0.97	eV/atom
# calculated total energy	-13.66	eV per formula unit
# DOS at the Fermi energy	2.908	states/eV/f.u.